No. 1
CeNd6Tl: optimized geometry, GGA-PBE.

Results
- Crystal system: tetragonal
- Energy relative to the elements: -0.052 eV/atom
- N(E_F): 12.9 states/eV/f.u.

The structure in POSCAR format:
```
CeNd6Tl
1.0
5.017 0.000 0.000
0.000 5.017 0.000
0.000 0.000 10.359
Nd Ce Tl
6 1 1
Direct
0.500 0.500 0.000
0.000 0.500 0.754
0.500 0.000 0.246
0.500 0.500 0.500
0.500 0.000 0.754
0.000 0.500 0.246
0.000 0.000 0.500
0.000 0.000 0.000
```

No. 2
CeNd2Tl: optimized geometry, GGA-PBE.

Results
- Crystal system: trigonal
- ΔE to the lowest computed polymorph: 0.1137 eV/atom
- Energy relative to the elements: -0.042 eV/atom
- N(E_F): 7.6 states/eV/f.u.

The structure in POSCAR format:
```
CeNd2Tl
1.0
3.646 0.000 0.000
1.823 3.158 0.000
1.823 1.053 11.158
Ce Tl Nd
1 1 2
Direct
0.500 0.500 0.501
0.667 0.667 0.000
0.254 0.254 0.239
0.080 0.080 0.760
```

No. 3
Ce2NdTl: optimized geometry, GGA-PBE.

Results
- Crystal system: cubic
- ΔE to the lowest computed polymorph: 0.2127 eV/atom
- Energy relative to the elements: 0.051 eV/atom
- N(E_F): 13.9 states/eV/f.u.

The structure in POSCAR format:
```
Ce2NdTl
1.0
-1.391 -2.161 4.916
-3.833 -4.000 0.287
1.495 -5.188 1.272
Ce Tl Nd
2 1 1
Direct
0.750 0.750 0.750
0.250 0.250 0.250
0.500 0.500 0.500
0.000 0.000 0.000
```

No. 4
CeNd8Tl6: optimized geometry, GGA-PBE.

Results
- Crystal system: trigonal
- Energy relative to the elements: -0.145 eV/atom
- N(E_F): 28.2 states/eV/f.u.

The structure in POSCAR format:
```
CeNd8Tl6
1.0
9.377 0.000 0.000
4.689 8.121 0.000
4.689 2.707 6.652
Nd Tl Ce
8 6 1
Direct
0.441 0.782 0.662
0.886 0.559 0.338
0.218 0.886 0.338
0.782 0.114 0.662
0.668 0.668 0.997
0.114 0.441 0.662
0.332 0.332 0.003
0.559 0.218 0.338
0.607 0.942 0.174
0.723 0.393 0.826
0.393 0.058 0.826
0.058 0.723 0.826
0.277 0.607 0.174
0.942 0.277 0.174
0.000 0.000 0.000
```

No. 5
CeNd9Tl2: optimized geometry, GGA-PBE.

Results
- Crystal system: tetragonal
- Energy relative to the elements: -0.106 eV/atom
- N(E_F): 18.0 states/eV/f.u.

The structure in POSCAR format:
```
CeNd9Tl2
1.0
-3.211 3.824 -0.320
-0.405 0.077 4.986
11.725 9.913 0.799
Ce Nd Tl
1 9 2
Direct
0.000 0.000 0.000
0.500 0.500 0.000
0.500 0.000 0.170
0.000 0.500 0.830
0.500 0.500 0.337
0.000 0.500 0.500
0.500 0.000 0.500
0.500 0.500 0.663
0.500 0.000 0.830
0.000 0.500 0.170
0.000 0.000 0.662
0.000 0.000 0.338
```

No. 6
Ce3NdTl3: optimized geometry, GGA-PBE.

Results
- Crystal system: hexagonal
- Energy relative to the elements: -0.134 eV/atom
- N(E_F): 18.1 states/eV/f.u.

The structure in POSCAR format:
```
Ce3NdTl3
1.0
5.115 0.000 0.000
0.000 9.642 0.000
0.000 -4.821 8.351
Ce Nd Tl
6 2 6
Direct
0.250 0.224 0.002
0.750 0.002 0.778
0.250 0.778 0.776
0.750 0.222 0.224
0.250 0.998 0.222
0.750 0.776 0.998
0.250 0.667 0.333
0.750 0.333 0.667
0.750 0.455 0.070
0.250 0.545 0.930
0.250 0.385 0.455
0.250 0.070 0.615
0.750 0.615 0.545
0.750 0.930 0.385
```

No. 7
Ce2NdTl: optimized geometry, GGA-PBE.

Results
- Crystal system: tetragonal
- ΔE to the lowest computed polymorph: 0.1318 eV/atom
- Energy relative to the elements: -0.030 eV/atom
- N(E_F): 11.6 states/eV/f.u.

The structure in POSCAR format:
```
Ce2NdTl
1.0
4.241 0.000 0.000
0.000 4.241 0.000
0.000 0.000 6.881
Nd Ce Tl
1 2 1
Direct
0.500 0.500 0.500
0.000 0.000 0.793
0.000 0.000 0.207
0.500 0.500 0.000
```

No. 8
CeNd2Tl3: optimized geometry, GGA-PBE.

Results
- Crystal system: tetragonal
- Energy relative to the elements: -0.334 eV/atom
- N(E_F): 10.5 states/eV/f.u.

The structure in POSCAR format:
```
CeNd2Tl3
1.0
3.619 0.000 0.000
0.000 3.619 0.000
0.000 0.000 13.446
Tl Ce Nd
3 1 2
Direct
0.000 0.000 0.334
0.000 0.000 0.000
0.000 0.000 0.666
0.500 0.500 0.500
0.500 0.500 0.166
0.500 0.500 0.834
```